Below is a geometry-optimized TaIr2Os structure, with properties calculated at the PBE-GGA level.

energy: -41.0 eV/cell
formation energy from the elements: -41 meV per atom
energy above the most stable polymorph in this dataset: 472 meV per atom

Lattice parameters (Å, degrees): 3.341 3.341 5.605 90.00 90.00 90.00
Element x y z (fractional)
Ta 0.000 0.000 0.000
Ir 0.000 0.000 0.504
Ir 0.500 0.500 0.247
Os 0.500 0.500 0.728